No. 1
! CaTmIr, optimized geometry, DFT GGA-PBE; values from VASP
&SYSTEM
  ibrav = 0, nat = 3, ntyp = 3
/
ATOMIC_SPECIES
Ca 40.08 Ca.upf
Ir 192.22 Ir.upf
Tm 168.93 Tm.upf
CELL_PARAMETERS angstrom
-4.6089 0.7804 -1.0077
-3.3407 -3.0319 1.5854
-3.0083 1.3540 3.4617
ATOMIC_POSITIONS crystal
Ca 0.5000 0.5000 0.5000
Ir 0.2500 0.2500 0.2500
Tm 0.0000 0.0000 0.0000
! N(E_F) (states/eV/f.u.): 0.2
! Energy relative to the elements (meV per atom): -528
! Space group: F-43m, No. 216
! Total moment (μB per cell): 0.0

---

No. 2
! CaTm4Ir5, optimized geometry, DFT GGA-PBE; values from VASP
&SYSTEM
  ibrav = 0, nat = 10, ntyp = 3
/
ATOMIC_SPECIES
Ca 40.08 Ca.upf
Tm 168.93 Tm.upf
Ir 192.22 Ir.upf
CELL_PARAMETERS angstrom
-0.3359 -0.4539 -3.3479
-2.8890 -1.7058 0.5211
-8.7159 14.4311 -1.0820
ATOMIC_POSITIONS crystal
Ca 0.0000 0.0000 0.0000
Tm 0.0000 0.0000 0.2023
Tm 0.0000 0.0000 0.4009
Tm 0.0000 0.0000 0.5991
Tm 0.0000 0.0000 0.7977
Ir 0.5000 0.5000 0.1101
Ir 0.5000 0.5000 0.3034
Ir 0.5000 0.5000 0.5000
Ir 0.5000 0.5000 0.6966
Ir 0.5000 0.5000 0.8899
! N(E_F) (states/eV/f.u.): 5.3
! Energy relative to the elements (meV per atom): -768
! Space group: P4/mmm, No. 123
! Total moment (μB per cell): 0.0

---

No. 3
! CaTm2Ir9, optimized geometry, DFT GGA-PBE; values from VASP
&SYSTEM
  ibrav = 0, nat = 12, ntyp = 3
/
ATOMIC_SPECIES
Ca 40.08 Ca.upf
Tm 168.93 Tm.upf
Ir 192.22 Ir.upf
CELL_PARAMETERS angstrom
5.3088 0.0000 0.0000
2.6544 4.5976 0.0000
2.6544 1.5325 8.7156
ATOMIC_POSITIONS crystal
Ca 0.0000 0.0000 0.0000
Tm 0.8615 0.8615 0.4155
Tm 0.1385 0.1385 0.5845
Ir 0.6670 0.6670 0.9990
Ir 0.3330 0.3330 0.0010
Ir 0.5000 0.5000 0.5000
Ir 0.4170 0.4170 0.2484
Ir 0.9175 0.4170 0.2484
Ir 0.4170 0.9175 0.2484
Ir 0.5830 0.5830 0.7516
Ir 0.5830 0.0825 0.7516
Ir 0.0825 0.5830 0.7516
! N(E_F) (states/eV/f.u.): 13.3
! Energy relative to the elements (meV per atom): -497
! Space group: R-3m, No. 166
! Total moment (μB per cell): 0.0

---

> Look up the energy relative to the elements of the first one.

-528 meV per atom

---

> Among the records above, which one has the highest energy relative to the elements?

CaTm2Ir9

---

> What is the total moment in the first record?

0.0 μB per cell